# Zr3AuN

A relaxed Zr3AuN crystal (PBE, the Alexandria database).

The structure in extended XYZ format:
```
10
Lattice="-0.9447 3.5637 -2.4991 -4.9471 3.2503 6.5042 3.6395 2.1519 1.6928" Properties=species:S:1:pos:R:3 pbc="T T T"
Zr 1.3796 6.0264 0.3085
Zr -1.7700 5.8238 1.2115
Au -1.1685 7.7008 3.6586
Zr -0.0218 3.2040 0.7828
Zr 0.5761 5.0825 3.2363
Zr -2.5707 4.8771 4.1359
N -1.3298 4.0631 2.5030
Au -4.1694 7.3998 4.3657
Zr -1.8223 6.6597 6.3873
N 1.8840 4.2233 1.5160
```

Computed properties:
Volume: 178.4 Å³ per cell
Raw total energy: -8.354 eV/atom
Space group: No. 51